DFT (GGA-PBE) results for crystalline Ac2TlAgO5 at its relaxed geometry.

Cell and atoms, written as CIF:
```
data_Ac2TlAgO5
_cell_length_a 7.2546
_cell_length_b 7.2546
_cell_length_c 6.0661
_cell_angle_alpha 90.00
_cell_angle_beta 90.00
_cell_angle_gamma 90.00
_symmetry_space_group_name_H-M 'P 4/m b m'
_symmetry_Int_Tables_number 127
_symmetry_space_group_name_Hall '-P 4 2ab'
loop_
_atom_site_label
_atom_site_type_symbol
_atom_site_fract_x
_atom_site_fract_y
_atom_site_fract_z
_atom_site_occupancy
Ac1 Ac 0.1812 0.3188 0.0000 1
Tl1 Tl 0.0000 0.0000 0.5000 1
Ag1 Ag 0.0000 0.5000 0.5000 1
O1 O 0.0000 0.0000 0.0000 1
O2 O 0.1305 0.6305 0.2486 1
```

- Raw formation energy: -1.951 eV/atom